1.
DFT (GGA-PBE) results for crystalline Sc4CdSe at its relaxed geometry.

Cell lengths 8.2937, 8.2937, 8.2937 Å; angles 90.00, 90.00, 90.00 degrees
With the nearest neighbours (Å) after each atom.
Space group F-43m (No. 216)
Asymmetric unit:
Sc: 0.1241 0.1241 0.3759 x16  6 Sc 2.91-2.95
Cd: 0.2500 0.2500 0.7500 x4  12 Sc 3.44, 4 Se 3.59
Se: 0.0000 0.0000 0.0000 x4  12 Sc 3.44, 4 Cd 3.59

Properties
Crystal system: cubic
D(E_F) (states/eV per cell): 36.61
Formation energy (no corrections) (eV per atom): 0.129

***

2.
DFT (GGA-PBE) results for crystalline NdTl2Si2O6 at its relaxed geometry.

Cell lengths 6.0243, 6.0243, 18.3103 Å; angles 90.00, 90.00, 120.00 degrees
With the nearest neighbours (Å) after each atom.
Space group R-3m (No. 166, hexagonal axes)
Asymmetric unit:
Nd: 0.0000 0.0000 0.0000 x3  6 O 2.37
Tl: 0.0000 0.0000 0.2134 x6  9 O 3.11-3.12
Si: 0.0000 0.0000 0.4290 x6  3 O 1.62
O: 0.0295 0.5147 0.2555 x18  1 Si 1.62

Properties
Crystal system: trigonal
Formation energy (no corrections) (eV per atom): -2.158

***

3.
DFT (GGA-PBE) results for crystalline LaTbGa4 at its relaxed geometry.

Cell lengths 7.9558, 7.9558, 7.9558 Å; angles 90.00, 90.00, 90.00 degrees
With the nearest neighbours (Å) after each atom.
Space group F-43m (No. 216)
Asymmetric unit:
La: 0.0000 0.0000 0.0000 x4  12 Ga 3.30, 4 Tb 3.44
Tb: 0.2500 0.2500 0.2500 x4  12 Ga 3.30, 4 La 3.44
Ga: 0.1250 0.1250 0.6250 x16  6 Ga 2.81

Properties
Crystal system: cubic
D(E_F) (states/eV per cell): 17.70
Polymorph energy (0 for the lowest one) (meV/atom): 109
E_form (eV per atom): -0.56

***

4.
DFT (GGA-PBE) results for crystalline KSiPbF6 at its relaxed geometry.

Cell lengths 6.2030, 10.9325, 4.6992 Å; angles 90.00, 90.08, 90.00 degrees
With the nearest neighbours (Å) after each atom.
Space group C2 (No. 5)
Asymmetric unit:
K: 0.0000 0.0000 0.0000 x2  6 F 2.81-2.84
Si: 0.0000 0.6666 0.5000 x2  6 F 1.72
Pb: 0.0000 0.3351 0.5000 x2  6 F 2.68-2.70
F: 0.1090 0.7808 0.2927 x4  1 Si 1.72
F: 0.1168 0.5552 0.2924 x4  1 Si 1.72
F: 0.2316 0.6639 0.7029 x4  1 Si 1.72

Properties
Crystal system: monoclinic
D(E_F) (states/eV per cell): 3.57
Formation energy (no corrections) (eV per atom): -2.672